Entry 1:
CsBa2Cr2F11 | the Alexandria database | PBE+U | optimized geometry; total magnetization = 6.00 μB/f.u.; raw total energy = -5.763 eV per atom
1.0
-7.836 3.475 -2.262
-7.091 -0.759 5.267
8.536 2.348 0.475
Cs Ba Cr F
1 2 2 11
direct
0.000 0.000 0.000
0.250 0.750 0.500
0.750 0.250 0.500
0.374 0.374 0.000
0.626 0.626 0.000
0.500 0.500 0.000
0.141 0.141 0.552
0.589 0.141 0.000
0.141 0.589 0.000
0.589 0.589 0.448
0.751 0.751 0.000
0.249 0.249 0.000
0.411 0.411 0.552
0.859 0.411 0.000
0.411 0.859 0.000
0.859 0.859 0.448

Entry 2:
CsBaCrF6 | the Alexandria database | PBE+U | optimized geometry; total magnetization = 3.00 μB/f.u.; raw total energy = -5.562 eV per atom
1.0
-8.358 -0.882 2.187
-0.944 -5.141 -5.680
5.945 -0.934 5.103
Cs Ba Cr F
2 2 2 12
direct
0.846 0.596 0.691
0.154 0.404 0.309
0.500 0.000 0.500
0.000 0.000 0.500
0.500 0.500 0.000
0.500 0.000 0.000
0.554 0.804 0.107
0.876 0.126 0.753
0.783 0.161 0.251
0.468 0.591 0.251
0.468 0.161 0.251
0.783 0.591 0.251
0.446 0.196 0.893
0.124 0.874 0.247
0.217 0.839 0.749
0.532 0.409 0.749
0.532 0.839 0.749
0.217 0.409 0.749